(1)
The following is a PBE calculation of a geometry-optimized ReOsW2 structure, from the Alexandria database.

ΔE_f   0.1678 eV/atom
Raw total energy   -0.89876 Ry per atom
M_tot   0.00 μB/cell

Cell lengths 4.8715, 4.8715, 4.8715 Å; angles 132.33, 132.33, 69.71 degrees
Last column: nearest neighbours and their distance in Å.
Sites, in units of the cell vectors:
Re 0.0000 0.0000 0.0000  8 W 2.78-2.81, 4 Os 2.81
Os 0.7500 0.2500 0.5000  8 W 2.78-2.81, 4 Re 2.81
W 0.2500 0.7500 0.5000  4 Os 2.78, 4 W 2.81, 4 Re 2.81
W 0.5000 0.5000 0.0000  4 Re 2.78, 4 W 2.81, 4 Os 2.81

---

(2)
The following is a PBE calculation of a geometry-optimized Re2OsW structure, from the Alexandria database.

ΔE_f   0.0664 eV/atom
Raw total energy   -0.89693 Ry per atom
M_tot   0.00 μB/cell

Cell lengths 3.9172, 3.9172, 3.9430 Å; angles 90.00, 90.00, 90.00 degrees
Last column: nearest neighbours and their distance in Å.
Sites, in units of the cell vectors:
Re 0.0000 0.5000 0.0000  4 Re 2.77, 4 W 2.78, 4 Os 2.78
Re 0.5000 0.0000 0.0000  4 Re 2.77, 4 W 2.78, 4 Os 2.78
Os 0.0000 0.0000 0.5000  4 W 2.77, 8 Re 2.78
W 0.5000 0.5000 0.5000  4 Os 2.77, 8 Re 2.78

---

(3)
The following is a PBE calculation of a geometry-optimized Re3OsW structure, from the Alexandria database.

ΔE_f   2.6921 eV/atom
Raw total energy   -0.70657 Ry per atom
M_tot   0.00 μB/cell

Cell lengths 4.6342, 4.6342, 4.6342 Å; angles 90.00, 90.00, 90.00 degrees
Last column: nearest neighbours and their distance in Å.
Sites, in units of the cell vectors:
Re 0.0000 0.0000 0.5000  2 W 2.32
Re 0.0000 0.5000 0.0000  2 W 2.32
Re 0.5000 0.0000 0.0000  2 W 2.32
Os 0.5000 0.5000 0.5000  12 Re 3.28
W 0.0000 0.0000 0.0000  6 Re 2.32

---

(4)
The following is a PBE calculation of a geometry-optimized Re2Os2W structure, from the Alexandria database.

ΔE_f   0.8102 eV/atom
Raw total energy   -0.82697 Ry per atom
M_tot   0.00 μB/cell

Cell lengths 6.4090, 6.4090, 6.4090 Å; angles 145.46, 145.46, 49.64 degrees
Last column: nearest neighbours and their distance in Å.
Sites, in units of the cell vectors:
Re 0.1031 0.1031 0.0000  1 Re 2.40, 4 Os 2.56
Re 0.8969 0.8969 0.0000  1 Re 2.40, 4 Os 2.56
Os 0.2500 0.7500 0.5000  4 Re 2.56, 4 Os 2.69
Os 0.7500 0.2500 0.5000  4 Re 2.56, 4 Os 2.69
W 0.5000 0.5000 0.0000  8 Re 2.95

---

(5)
The following is a PBE calculation of a geometry-optimized ReOsW2 structure, from the Alexandria database.

ΔE_f   0.1473 eV/atom
Raw total energy   -0.90026 Ry per atom
M_tot   0.00 μB/cell

Cell lengths 2.7593, 2.7593, 8.2268 Å; angles 90.00, 90.00, 90.00 degrees
Last column: nearest neighbours and their distance in Å.
Sites, in units of the cell vectors:
Re 0.0000 0.0000 0.0000  4 Os 2.68, 4 Re 2.76, 4 W 2.90
Os 0.5000 0.5000 0.7773  4 Re 2.68, 4 Os 2.76, 4 W 2.81
W 0.0000 0.0000 0.5307  8 W 2.76-2.96, 4 Os 2.81
W 0.5000 0.5000 0.2609  8 W 2.76-2.96, 4 Re 2.90

---

(6)
The following is a PBE calculation of a geometry-optimized Re2OsW structure, from the Alexandria database.

ΔE_f   0.0986 eV/atom
Raw total energy   -0.89457 Ry per atom
M_tot   0.00 μB/cell

Cell lengths 4.8064, 4.8064, 4.8184 Å; angles 99.55, 99.55, 33.60 degrees
Last column: nearest neighbours and their distance in Å.
Sites, in units of the cell vectors:
Re 0.0000 0.0000 0.0000  4 Os 2.71-2.85, 5 Re 2.76-2.78, 3 W 2.76-2.84
Re 0.7484 0.7484 0.2434  3 Os 2.72-2.78, 4 W 2.76-2.81, 5 Re 2.76-2.78
Os 0.4933 0.4933 0.4803  7 Re 2.71-2.85, 2 Os 2.78, 3 W 2.79
W 0.2437 0.2437 0.7355  7 Re 2.76-2.84, 2 W 2.78, 3 Os 2.79

---

(7)
The following is a PBE calculation of a geometry-optimized ReOsW2 structure, from the Alexandria database.

ΔE_f   0.2387 eV/atom
Raw total energy   -0.89355 Ry per atom
M_tot   0.00 μB/cell

Cell lengths 2.7421, 2.7421, 8.7835 Å; angles 90.00, 90.00, 110.08 degrees
Last column: nearest neighbours and their distance in Å.
Sites, in units of the cell vectors:
Re 0.0000 0.0000 0.0000  4 W 2.71, 4 Re 2.74
Os 0.0000 0.0000 0.5000  4 W 2.69, 4 Os 2.74
W 0.5000 0.5000 0.2513  2 Os 2.69, 2 Re 2.71, 4 W 2.74
W 0.5000 0.5000 0.7487  2 Os 2.69, 2 Re 2.71, 4 W 2.74

---

(8)
The following is a PBE calculation of a geometry-optimized Re2OsW structure, from the Alexandria database.

ΔE_f   0.1725 eV/atom
Raw total energy   -0.88913 Ry per atom
M_tot   0.00 μB/cell

Cell lengths 9.3332, 9.3332, 9.3332 Å; angles 17.04, 17.04, 17.04 degrees
Last column: nearest neighbours and their distance in Å.
Sites, in units of the cell vectors:
Re 0.2472 0.2472 0.2472  3 Os 2.74, 6 Re 2.77, 3 W 2.86
Re 0.7528 0.7528 0.7528  3 Os 2.74, 6 Re 2.77, 3 W 2.86
Os 0.5000 0.5000 0.5000  6 Re 2.74, 6 Os 2.77
W 0.0000 0.0000 0.0000  6 W 2.77, 6 Re 2.86

---

(9)
The following is a PBE calculation of a geometry-optimized ReOsW2 structure, from the Alexandria database.

ΔE_f   0.1366 eV/atom
Raw total energy   -0.90106 Ry per atom
M_tot   0.00 μB/cell

Cell lengths 4.8027, 4.8027, 2.8196 Å; angles 90.00, 90.00, 107.89 degrees
Last column: nearest neighbours and their distance in Å.
Sites, in units of the cell vectors:
Re 0.0000 0.0000 0.0000  8 W 2.78, 2 Re 2.82, 2 Os 2.83
Os 0.5000 0.5000 0.0000  8 W 2.78, 2 Os 2.82, 2 Re 2.83
W 0.0000 0.5000 0.5000  4 Re 2.78, 4 Os 2.78, 4 W 2.82-2.83
W 0.5000 0.0000 0.5000  4 Re 2.78, 4 Os 2.78, 4 W 2.82-2.83

---

(10)
The following is a PBE calculation of a geometry-optimized Re2OsW structure, from the Alexandria database.

ΔE_f   0.3032 eV/atom
Raw total energy   -0.87953 Ry per atom
M_tot   0.00 μB/cell

Cell lengths 5.2225, 5.2225, 5.2225 Å; angles 145.54, 129.56, 62.52 degrees
Last column: nearest neighbours and their distance in Å.
Sites, in units of the cell vectors:
Re 0.0000 0.0000 0.0000  2 W 2.58, 4 Os 2.72, 2 Re 2.77
Re 0.7427 0.2427 0.5000  4 W 2.71, 2 Re 2.77, 4 Os 2.89-3.00
Os 0.4687 0.4687 0.0000  2 W 2.63, 6 Re 2.72-2.89
W 0.2306 0.7306 0.5000  6 Re 2.58-2.71, 2 Os 2.63

---

(11)
The following is a PBE calculation of a geometry-optimized ReOsW2 structure, from the Alexandria database.

ΔE_f   0.1881 eV/atom
Raw total energy   -0.89727 Ry per atom
M_tot   0.00 μB/cell

Cell lengths 4.8150, 4.8150, 4.8879 Å; angles 99.37, 99.37, 33.67 degrees
Last column: nearest neighbours and their distance in Å.
Sites, in units of the cell vectors:
Re 0.0000 0.0000 0.0000  6 W 2.76-2.82, 2 Re 2.79, 4 Os 2.81
Os 0.5000 0.5000 0.5000  6 W 2.76-2.81, 2 Os 2.79, 4 Re 2.81
W 0.2463 0.2463 0.7471  3 Os 2.76-2.81, 3 Re 2.76-2.82, 6 W 2.79-2.83
W 0.7537 0.7537 0.2529  3 Os 2.76-2.81, 3 Re 2.76-2.82, 6 W 2.79-2.83

---

(12)
The following is a PBE calculation of a geometry-optimized ReOsW2 structure, from the Alexandria database.

ΔE_f   0.2365 eV/atom
Raw total energy   -0.89371 Ry per atom
M_tot   0.00 μB/cell

Cell lengths 5.1959, 5.1959, 5.1959 Å; angles 145.02, 128.63, 63.67 degrees
Last column: nearest neighbours and their distance in Å.
Sites, in units of the cell vectors:
Re 0.0000 0.0000 0.0000  4 W 2.65, 4 Os 2.74
Os 0.5000 0.5000 0.0000  4 Re 2.74, 4 W 2.76
W 0.2419 0.7419 0.5000  2 Re 2.65, 4 W 2.74, 2 Os 2.76
W 0.7581 0.2581 0.5000  2 Re 2.65, 4 W 2.74, 2 Os 2.76

---

(13)
The following is a PBE calculation of a geometry-optimized Re2OsW structure, from the Alexandria database.

ΔE_f   0.3760 eV/atom
Raw total energy   -0.87418 Ry per atom
M_tot   0.00 μB/cell

Cell lengths 4.4213, 4.4213, 4.4213 Å; angles 60.00, 60.00, 60.00 degrees
Last column: nearest neighbours and their distance in Å.
Sites, in units of the cell vectors:
Re 0.0000 0.0000 0.0000  4 Re 2.71, 4 Os 2.71
Re 0.2500 0.2500 0.2500  4 W 2.71, 4 Re 2.71
Os 0.7500 0.7500 0.7500  4 W 2.71, 4 Re 2.71
W 0.5000 0.5000 0.5000  4 Os 2.71, 4 Re 2.71

---

(14)
The following is a PBE calculation of a geometry-optimized Re2OsW structure, from the Alexandria database.

ΔE_f   0.3412 eV/atom
Raw total energy   -0.87673 Ry per atom
M_tot   0.00 μB/cell

Cell lengths 4.4850, 4.4850, 3.0360 Å; angles 90.00, 90.00, 90.00 degrees
Last column: nearest neighbours and their distance in Å.
Sites, in units of the cell vectors:
Re 0.0000 0.5000 0.0000  4 W 2.71, 4 Os 2.71
Re 0.5000 0.0000 0.0000  4 W 2.71, 4 Os 2.71
Os 0.0000 0.0000 0.5000  8 Re 2.71
W 0.5000 0.5000 0.5000  8 Re 2.71

---

(15)
The following is a PBE calculation of a geometry-optimized Re4OsW structure, from the Alexandria database.

ΔE_f   0.3426 eV/atom
Raw total energy   -0.88100 Ry per atom
M_tot   0.00 μB/cell

Cell lengths 5.1080, 5.1080, 5.1080 Å; angles 60.00, 60.00, 60.00 degrees
Last column: nearest neighbours and their distance in Å.
Sites, in units of the cell vectors:
Re 0.3758 0.3758 0.3758  6 Re 2.54-2.57
Re 0.3758 0.3758 0.8726  6 Re 2.54-2.57
Re 0.3758 0.8726 0.3758  6 Re 2.54-2.57
Re 0.8726 0.3758 0.3758  6 Re 2.54-2.57
Os 0.7500 0.7500 0.7500  12 Re 2.99, 4 W 3.13
W 0.0000 0.0000 0.0000  12 Re 3.00, 4 Os 3.13

---

no.,volume (A^3/atom)
1,15.494
2,15.126
3,19.905
4,16.843
5,15.659
6,15.168
7,15.507
8,15.225
9,15.473
10,15.369
11,15.476
12,15.526
13,15.278
14,15.267
15,15.707